## Dy3Tl4CdTe8 (PBE-GGA)

Data for a relaxed Dy3Tl4CdTe8 crystal.

## Properties
* space-group type: R-3m, No. 166
* formation energy (no corrections): -13.30 eV/f.u.

The structure in POSCAR format:
```
Dy3Tl4CdTe8
1.0
8.914 0.000 0.000
0.000 9.481 0.386
-4.457 -4.454 6.311
Dy Tl Cd Te
3 4 1 8
Direct
0.500 0.500 0.000
0.500 0.500 0.500
0.000 0.500 0.500
0.500 0.000 0.000
0.500 0.000 0.500
0.000 0.000 0.000
0.000 0.000 0.500
0.000 0.500 0.000
0.239 0.716 0.977
0.239 0.716 0.478
0.261 0.283 0.522
0.738 0.716 0.977
0.262 0.284 0.023
0.739 0.717 0.478
0.761 0.284 0.522
0.761 0.284 0.023
```

## DyTl2Cd2Te4 (PBE-GGA)

Data for a relaxed DyTl2Cd2Te4 crystal.

## Properties
* space-group type: C2/m, No. 12
* formation energy (no corrections): -5.06 eV/f.u.

The structure in POSCAR format:
```
DyTl2Cd2Te4
1.0
4.438 0.000 0.000
-2.219 8.178 0.196
0.000 -2.621 8.130
Dy Tl Cd Te
1 2 2 4
Direct
0.000 0.000 0.000
0.871 0.742 0.447
0.129 0.258 0.553
0.334 0.667 0.025
0.666 0.333 0.975
0.797 0.595 0.797
0.203 0.405 0.203
0.497 0.994 0.257
0.503 0.006 0.743
```

## Dy3Tl3CdTe8 (PBE-GGA)

Data for a relaxed Dy3Tl3CdTe8 crystal.

## Properties
* space-group type: C2/m, No. 12
* formation energy (no corrections): -11.90 eV/f.u.

The structure in POSCAR format:
```
Dy3Tl3CdTe8
1.0
8.745 0.000 0.000
-4.372 7.572 -0.030
0.000 -5.016 8.212
Dy Tl Cd Te
3 3 1 8
Direct
0.500 0.000 0.500
0.500 0.500 0.500
0.000 0.500 0.500
0.000 0.000 0.000
0.000 0.500 0.000
0.500 0.500 0.000
0.000 0.000 0.500
0.261 0.522 0.283
0.739 0.478 0.717
0.762 0.524 0.286
0.238 0.476 0.714
0.761 0.025 0.286
0.239 0.975 0.714
0.264 0.025 0.286
0.736 0.975 0.714
```

## DyTh2Cd (PBE-GGA)

Data for a relaxed DyTh2Cd crystal.

## Properties
* space-group type: R-3m, No. 166
* energy of formation: 199 meV/atom
* relative energy among the computed polymorphs: 0.223 eV/atom

The structure in POSCAR format:
```
DyTh2Cd
1.0
-0.210 -2.573 -2.167
2.548 -0.636 -2.113
5.881 -8.572 6.985
Cd Th Dy
1 2 1
Direct
0.500 0.500 0.500
0.091 0.091 0.728
0.909 0.909 0.272
0.000 0.000 0.000
```

| no. | density (g/cm3) |
| --- | --- |
| 1 | 7.4 |
| 2 | 7.3 |
| 3 | 6.8 |
| 4 | 10.1 |